## NaScHg2 (PBE)

Data for a geometry-optimized NaScHg2 structure.

Unit cell a=5.1699 b=5.1699 c=3.3894 alpha=90.00 beta=90.00 gamma=90.00
With the nearest neighbours (Å) after each atom.
Element x y z (fractional)
Na: 0.0000 0.0000 0.0000  8 Hg 3.09, 2 Na 3.39
Sc: 0.5000 0.5000 0.0000  8 Hg 3.09, 2 Sc 3.39
Hg: 0.0000 0.5000 0.5000  4 Na 3.09, 4 Sc 3.09, 2 Hg 3.39
Hg: 0.5000 0.0000 0.5000  4 Na 3.09, 4 Sc 3.09, 2 Hg 3.39

Computed properties:
E: -2.368 eV/atom
energy relative to the elements: -1.2 eV per formula unit